No. 1
First-principles (PBEsol) data for an optimized crystal structure of NiIr3W, as listed in Alexandria.

```
NiIr3W
1.0
-0.333 4.303 -0.132
-1.878 -0.264 -3.879
-3.874 -0.242 1.892
Ni Ir W
1 3 1
Direct
0.000 0.000 0.000 Ni
0.000 0.500 0.000 Ir
0.000 0.000 0.500 Ir
0.500 0.000 0.000 Ir
0.500 0.500 0.500 W
```

Computed properties:
* total energy: -8.198 eV per atom
* calculated density: 16.89 g/cm3
* formation energy from the elements: 1689 meV/atom

---

No. 2
First-principles (PBEsol) data for an optimized crystal structure of NiIrW, as listed in Alexandria.

```
NiIrW
1.0
-1.767 -2.715 2.502
1.683 -3.694 0.528
1.770 -0.952 3.566
Ir Ni W
1 1 1
Direct
0.250 0.250 0.250 Ir
0.000 0.000 0.000 Ni
0.500 0.500 0.500 W
```

Computed properties:
* total energy: -9.444 eV per atom
* calculated density: 14.88 g/cm3
* energy above the lowest structure with this stoichiometry: 2.121 eV per formula unit
* formation energy from the elements: 486 meV/atom

---

No. 3
First-principles (PBEsol) data for an optimized crystal structure of NiIrW, as listed in Alexandria.

```
NiIrW
1.0
-1.193 2.230 -1.002
-3.211 -1.833 -0.255
1.251 0.953 4.324
Ni Ir W
1 1 1
Direct
0.667 0.667 0.334 Ni
0.002 0.002 0.003 Ir
0.331 0.331 0.663 W
```

Computed properties:
* total energy: -10.151 eV per atom
* calculated density: 17.96 g/cm3
* energy above the lowest structure with this stoichiometry: 0.000 eV per formula unit
* formation energy from the elements: -221 meV/atom

---

No. 4
First-principles (PBEsol) data for an optimized crystal structure of NiIrW, as listed in Alexandria.

```
NiIrW
1.0
-0.965 -2.205 1.295
2.459 -1.180 -0.177
0.635 3.865 4.171
Ir Ni W
1 1 1
Direct
0.003 0.003 0.005 Ir
0.668 0.668 0.337 Ni
0.329 0.329 0.658 W
```

Computed properties:
* total energy: -9.993 eV per atom
* calculated density: 17.94 g/cm3
* energy above the lowest structure with this stoichiometry: 0.472 eV per formula unit
* formation energy from the elements: -64 meV/atom

---

No. 5
First-principles (PBEsol) data for an optimized crystal structure of Y2NiIr, as listed in Alexandria.

```
Y2NiIr
1.0
3.866 0.000 0.001
0.000 4.013 0.032
-1.932 -0.042 5.195
Y Ni Ir
2 1 1
Direct
0.019 0.125 0.037 Y
0.732 0.625 0.464 Y
0.301 0.125 0.601 Ni
0.448 0.625 0.897 Ir
```

Computed properties:
* total energy: -8.022 eV per atom
* calculated density: 8.83 g/cm3
* energy above the lowest structure with this stoichiometry: 0.000 eV per formula unit
* formation energy from the elements: -616 meV/atom

---

No. 6
First-principles (PBEsol) data for an optimized crystal structure of YNiIr2, as listed in Alexandria.

```
YNiIr2
1.0
-2.428 -1.410 0.648
1.663 -3.748 -1.926
2.240 1.279 4.773
Ir Ni Y
2 1 1
Direct
0.776 0.776 0.553 Ir
0.224 0.224 0.447 Ir
0.500 0.000 0.000 Ni
0.000 0.500 0.000 Y
```

Computed properties:
* total energy: -8.308 eV per atom
* calculated density: 14.36 g/cm3
* energy above the lowest structure with this stoichiometry: 0.017 eV per formula unit
* formation energy from the elements: -152 meV/atom

---

No. 7
First-principles (PBEsol) data for an optimized crystal structure of Y2NiIr, as listed in Alexandria.

```
Y2NiIr
1.0
-2.375 -3.687 -1.828
2.369 -3.802 -1.584
-0.223 -4.102 2.387
Y Ni Ir
2 1 1
Direct
0.250 0.250 0.250 Y
0.750 0.750 0.750 Y
0.000 0.000 0.000 Ni
0.500 0.500 0.500 Ir
```

Computed properties:
* total energy: -8.014 eV per atom
* calculated density: 9.38 g/cm3
* energy above the lowest structure with this stoichiometry: 0.032 eV per formula unit
* formation energy from the elements: -607 meV/atom

---

No. 8
First-principles (PBEsol) data for an optimized crystal structure of Y2NiIr, as listed in Alexandria.

```
Y2NiIr
1.0
-1.410 3.697 -0.152
-3.531 -1.393 -1.123
1.118 -1.474 5.283
Ir Ni Y
1 1 2
Direct
0.500 0.500 0.000 Ir
0.250 0.750 0.500 Ni
0.000 0.000 0.000 Y
0.750 0.250 0.500 Y
```

Computed properties:
* total energy: -7.763 eV per atom
* calculated density: 9.37 g/cm3
* energy above the lowest structure with this stoichiometry: 1.035 eV per formula unit
* formation energy from the elements: -357 meV/atom

---

No. 9
First-principles (PBEsol) data for an optimized crystal structure of YNi2Ir, as listed in Alexandria.

```
YNi2Ir
1.0
-0.971 -0.790 3.665
2.537 -2.925 0.042
2.020 4.307 -0.583
Ir Ni Y
1 2 1
Direct
0.250 0.750 0.500 Ir
0.000 0.000 0.000 Ni
0.750 0.250 0.500 Ni
0.500 0.500 0.000 Y
```

Computed properties:
* total energy: -7.370 eV per atom
* calculated density: 11.22 g/cm3
* formation energy from the elements: -130 meV/atom

---

No. 10
First-principles (PBEsol) data for an optimized crystal structure of Y2NiIr, as listed in Alexandria.

```
Y2NiIr
1.0
3.400 0.000 0.000
0.000 4.727 0.000
0.000 0.000 4.727
Y Ni Ir
2 1 1
Direct
0.000 0.000 0.500 Y
0.000 0.500 0.000 Y
0.500 0.000 0.000 Ni
0.500 0.500 0.500 Ir
```

Computed properties:
* total energy: -7.996 eV per atom
* calculated density: 9.37 g/cm3
* energy above the lowest structure with this stoichiometry: 0.102 eV per formula unit
* formation energy from the elements: -590 meV/atom

---

No. 11
First-principles (PBEsol) data for an optimized crystal structure of Y2NiIr, as listed in Alexandria.

```
Y2NiIr
1.0
3.853 0.000 0.000
0.000 3.853 0.000
0.000 0.000 5.618
Ir Ni Y
1 1 2
Direct
0.000 0.000 0.427 Ir
0.500 0.500 0.820 Ni
0.000 0.000 0.921 Y
0.500 0.500 0.333 Y
```

Computed properties:
* total energy: -7.696 eV per atom
* calculated density: 8.54 g/cm3
* energy above the lowest structure with this stoichiometry: 1.305 eV per formula unit
* formation energy from the elements: -289 meV/atom

---

No. 12
First-principles (PBEsol) data for an optimized crystal structure of YNiIr2, as listed in Alexandria.

```
YNiIr2
1.0
3.015 0.000 0.000
0.000 4.508 0.000
0.000 0.000 4.559
Ir Ni Y
2 1 1
Direct
0.000 0.000 0.000 Ir
0.500 0.000 0.500 Ir
0.500 0.500 0.000 Ni
0.000 0.500 0.500 Y
```

Computed properties:
* total energy: -8.280 eV per atom
* calculated density: 14.26 g/cm3
* energy above the lowest structure with this stoichiometry: 0.131 eV per formula unit
* formation energy from the elements: -123 meV/atom

---

No. 13
First-principles (PBEsol) data for an optimized crystal structure of YNiIr2, as listed in Alexandria.

```
YNiIr2
1.0
-1.595 0.337 -2.314
1.696 -3.049 -1.613
-4.021 -3.438 2.272
Ir Ni Y
2 1 1
Direct
0.000 0.000 0.040 Ir
0.500 0.500 0.251 Ir
0.000 0.000 0.466 Ni
0.500 0.500 0.743 Y
```

Computed properties:
* total energy: -8.312 eV per atom
* calculated density: 14.10 g/cm3
* energy above the lowest structure with this stoichiometry: 0.000 eV per formula unit
* formation energy from the elements: -156 meV/atom

---

No. 14
First-principles (PBEsol) data for an optimized crystal structure of ZrNiIr2, as listed in Alexandria.

```
ZrNiIr2
1.0
2.981 0.000 0.000
0.000 3.504 0.000
0.000 0.000 5.677
Ir Ni Zr
2 1 1
Direct
0.000 0.000 0.774 Ir
0.000 0.000 0.226 Ir
0.500 0.500 0.000 Ni
0.500 0.500 0.500 Zr
```

Computed properties:
* total energy: -9.106 eV per atom
* calculated density: 14.96 g/cm3
* formation energy from the elements: -383 meV/atom

---

No. 15
First-principles (PBEsol) data for an optimized crystal structure of Zr2Ni2Ir, as listed in Alexandria.

```
Zr2Ni2Ir
1.0
3.286 0.000 0.000
0.000 6.794 0.000
0.000 0.000 6.794
Ni Ir Zr
4 2 4
Direct
0.000 0.378 0.878 Ni
0.000 0.878 0.622 Ni
0.000 0.622 0.122 Ni
0.000 0.122 0.378 Ni
0.000 0.000 0.000 Ir
0.000 0.500 0.500 Ir
0.500 0.181 0.681 Zr
0.500 0.681 0.819 Zr
0.500 0.819 0.319 Zr
0.500 0.319 0.181 Zr
```

Computed properties:
* total energy: -8.655 eV per atom
* calculated density: 10.77 g/cm3
* formation energy from the elements: -592 meV/atom

---

No. 16
First-principles (PBEsol) data for an optimized crystal structure of ZrNiIr2, as listed in Alexandria.

```
ZrNiIr2
1.0
-1.833 0.418 -2.005
-2.591 -0.864 0.305
-3.674 7.739 3.089
Ir Ni Zr
2 1 1
Direct
0.005 0.005 0.986 Ir
0.753 0.753 0.741 Ir
0.495 0.495 0.515 Ni
0.247 0.247 0.258 Zr
```

Computed properties:
* total energy: -8.680 eV per atom
* calculated density: 15.12 g/cm3
* formation energy from the elements: 43 meV/atom

---

No. 17
First-principles (PBEsol) data for an optimized crystal structure of ZrNiIr4, as listed in Alexandria.

```
ZrNiIr4
1.0
-2.037 -4.533 -1.179
2.857 -4.226 0.248
-0.854 -3.448 3.669
Ir Ni Zr
4 1 1
Direct
0.375 0.375 0.375 Ir
0.375 0.375 0.874 Ir
0.874 0.375 0.375 Ir
0.375 0.874 0.375 Ir
0.750 0.750 0.750 Ni
0.000 0.000 0.000 Zr
```

Computed properties:
* total energy: -9.197 eV per atom
* calculated density: 16.20 g/cm3
* formation energy from the elements: -106 meV/atom

---

No. 18
First-principles (PBEsol) data for an optimized crystal structure of ZrNiIr2, as listed in Alexandria.

```
ZrNiIr2
1.0
2.768 0.000 0.000
1.384 2.397 0.000
1.384 0.799 8.822
Ir Ni Zr
2 1 1
Direct
0.243 0.243 0.272 Ir
0.757 0.757 0.728 Ir
0.500 0.500 0.500 Ni
0.000 0.000 0.000 Zr
```

Computed properties:
* total energy: -8.760 eV per atom
* calculated density: 15.16 g/cm3
* formation energy from the elements: -36 meV/atom

---

No. 19
First-principles (PBEsol) data for an optimized crystal structure of IrO2, as listed in Alexandria.

```
IrO2
1.0
4.876 0.000 0.000
0.000 4.876 0.000
0.000 0.000 4.876
Ir O
4 8
Direct
0.000 0.500 0.500 Ir
0.500 0.500 0.000 Ir
0.500 0.000 0.500 Ir
0.000 0.000 0.000 Ir
0.350 0.150 0.850 O
0.150 0.850 0.350 O
0.850 0.350 0.150 O
0.650 0.650 0.650 O
0.350 0.350 0.350 O
0.150 0.650 0.850 O
0.850 0.150 0.650 O
0.650 0.850 0.150 O
```

Computed properties:
* total energy: -7.515 eV per atom
* calculated density: 12.85 g/cm3
* ΔE_f (raw): -2.2 eV per formula unit

---

No. 20
First-principles (PBEsol) data for an optimized crystal structure of IrO2, as listed in Alexandria.

```
IrO2
1.0
-2.704 1.510 -0.646
-0.759 -2.816 -3.406
-2.201 -2.756 2.769
Ir O
2 4
Direct
0.500 0.500 0.500 Ir
0.000 0.000 0.000 Ir
0.000 0.691 0.691 O
0.500 0.191 0.809 O
0.000 0.309 0.309 O
0.500 0.809 0.191 O
```

Computed properties:
* total energy: -7.584 eV per atom
* calculated density: 11.71 g/cm3
* ΔE_f (raw): -2.4 eV per formula unit

---

No. 21
First-principles (PBEsol) data for an optimized crystal structure of P2IrO2, as listed in Alexandria.

```
P2IrO2
1.0
3.678 0.000 0.000
0.000 3.913 0.000
0.000 0.000 3.913
P Ir O
2 1 2
Direct
0.000 0.000 0.500 P
0.000 0.500 0.000 P
0.500 0.500 0.500 Ir
0.000 0.000 0.000 O
0.500 0.000 0.000 O
```

Computed properties:
* total energy: -5.745 eV per atom
* calculated density: 8.44 g/cm3
* ΔE_f (raw): 3.2 eV per formula unit

---

No. 22
First-principles (PBEsol) data for an optimized crystal structure of RbPIrO2, as listed in Alexandria.

```
RbPIrO2
1.0
4.126 0.000 0.000
0.000 4.126 0.000
0.000 0.000 4.541
P Ir O Rb
1 1 2 1
Direct
0.000 0.000 0.500 P
0.000 0.000 0.000 Ir
0.000 0.500 0.000 O
0.500 0.000 0.000 O
0.500 0.500 0.500 Rb
```

Computed properties:
* total energy: -5.523 eV per atom
* calculated density: 7.32 g/cm3
* ΔE_f (raw): -0.5 eV per formula unit

---

No. 23
First-principles (PBEsol) data for an optimized crystal structure of SnP2IrO, as listed in Alexandria.

```
SnP2IrO
1.0
-2.547 1.362 -2.272
-1.627 -4.488 -0.865
-3.095 0.406 3.714
P Ir Sn O
2 1 1 1
Direct
0.000 0.000 0.500 P
0.000 0.500 0.000 P
0.000 0.000 0.000 Ir
0.500 0.500 0.500 Sn
0.500 0.000 0.000 O
```

Computed properties:
* total energy: -6.102 eV per atom
* calculated density: 7.47 g/cm3
* ΔE_f (raw): 0.4 eV per formula unit

---

No. 24
First-principles (PBEsol) data for an optimized crystal structure of TaP2IrO, as listed in Alexandria.

```
TaP2IrO
1.0
-0.588 0.597 -3.484
0.998 -4.526 -0.944
-4.557 -1.125 0.577
P Ir O Ta
2 1 1 1
Direct
0.000 0.000 0.500 P
0.000 0.500 0.000 P
0.000 0.000 0.000 Ir
0.500 0.000 0.000 O
0.500 0.500 0.500 Ta
```

Computed properties:
* total energy: -7.418 eV per atom
* calculated density: 9.35 g/cm3
* ΔE_f (raw): 2.1 eV per formula unit

---

No. 25
First-principles (PBEsol) data for an optimized crystal structure of TcPIrO2, as listed in Alexandria.

```
TcPIrO2
1.0
-0.008 1.477 3.361
-0.049 -3.360 1.477
5.447 -0.063 0.040
P Ir Tc O
1 1 1 2
Direct
0.000 0.000 0.500 P
0.000 0.000 0.000 Ir
0.500 0.500 0.500 Tc
0.000 0.500 0.000 O
0.500 0.000 0.000 O
```

Computed properties:
* total energy: -7.174 eV per atom
* calculated density: 7.99 g/cm3
* ΔE_f (raw): 1.5 eV per formula unit

---

No. 26
First-principles (PBEsol) data for an optimized crystal structure of TiPIrO2, as listed in Alexandria.

```
TiPIrO2
1.0
-0.835 3.344 -1.440
-3.605 -0.966 -0.152
-0.703 1.874 4.761
P Ir O Ti
1 1 2 1
Direct
0.000 0.000 0.500 P
0.000 0.000 0.000 Ir
0.000 0.500 0.000 O
0.500 0.000 0.000 O
0.500 0.500 0.500 Ti
```

Computed properties:
* total energy: -7.160 eV per atom
* calculated density: 6.98 g/cm3
* ΔE_f (raw): -1.4 eV per formula unit

---

No. 27
First-principles (PBEsol) data for an optimized crystal structure of ZnPIrO2, as listed in Alexandria.

```
ZnPIrO2
1.0
3.717 0.000 0.000
0.000 3.717 0.000
0.000 0.000 5.189
P Zn Ir O
1 1 1 2
Direct
0.000 0.000 0.500 P
0.500 0.500 0.500 Zn
0.000 0.000 0.000 Ir
0.000 0.500 0.000 O
0.500 0.000 0.000 O
```

Computed properties:
* total energy: -5.698 eV per atom
* calculated density: 7.43 g/cm3
* ΔE_f (raw): -0.8 eV per formula unit

---

No. 28
First-principles (PBEsol) data for an optimized crystal structure of Pr2Ir2O7, as listed in Alexandria.

```
Pr2Ir2O7
1.0
-1.473 -5.125 5.054
1.820 -7.010 -1.237
5.476 -3.098 3.794
Pr Ir O
4 4 14
Direct
0.625 0.125 0.625 Pr
0.125 0.625 0.625 Pr
0.625 0.625 0.625 Pr
0.625 0.625 0.125 Pr
0.625 0.125 0.125 Ir
0.125 0.125 0.125 Ir
0.125 0.125 0.625 Ir
0.125 0.625 0.125 Ir
0.456 0.044 0.044 O
0.206 0.206 0.794 O
0.044 0.456 0.044 O
0.206 0.794 0.794 O
0.456 0.456 0.044 O
0.456 0.044 0.456 O
0.044 0.456 0.456 O
0.750 0.750 0.750 O
0.794 0.206 0.206 O
0.794 0.206 0.794 O
0.500 0.500 0.500 O
0.044 0.044 0.456 O
0.206 0.794 0.206 O
0.794 0.794 0.206 O
```

Computed properties:
* total energy: -8.048 eV per atom
* calculated density: 9.22 g/cm3
* ΔE_f (raw): -21.8 eV per formula unit